1.
SmFe3Cu | PBE | relaxed

a b c (Å): 6.4045 6.4045 6.4045
angles (deg): 136.81 100.67 94.92
Last column: nearest neighbours and their distance in Å.
Atoms (fractional coordinates):
Fe 0.2375 0.0000 0.7375  4 Fe 2.34-2.36, 2 Cu 2.47
Fe 0.0656 0.8156 0.2500  6 Fe 2.34-2.62, 2 Cu 2.59
Fe 0.2375 0.5000 0.2375  4 Fe 2.34-2.36, 2 Cu 2.47
Fe 0.7625 0.5000 0.7625  4 Fe 2.34-2.36, 2 Cu 2.47
Fe 0.7625 0.0000 0.2625  4 Fe 2.34-2.36, 2 Cu 2.47
Fe 0.9344 0.1844 0.7500  6 Fe 2.34-2.62, 2 Cu 2.59
Cu 0.5000 0.0000 0.5000  6 Fe 2.47-2.59
Cu 0.0000 0.0000 0.0000  6 Fe 2.47-2.59
Sm 0.7131 0.4631 0.2500  11 Fe 3.04-3.37, 4 Cu 3.14
Sm 0.2869 0.5369 0.7500  11 Fe 3.04-3.37, 4 Cu 3.14

- space-group type = No. 74
- mass density (g/cm³) = 7.6
- formation energy from the elements (eV/atom) = 0.17



2.
Sm2TlFeCu | PBE | relaxed

a b c (Å): 3.8026 7.5761 7.5761
angles (deg): 31.58 90.00 90.00
Last column: nearest neighbours and their distance in Å.
Atoms (fractional coordinates):
Fe 0.0000 0.2035 0.2035  2 Cu 2.47
Tl 0.0000 0.0024 0.0024  1 Fe 2.93, 1 Cu 3.00
Cu 0.0000 0.7965 0.7965  2 Fe 2.47
Sm 0.5000 0.6349 0.6349  4 Fe 2.98, 2 Cu 3.03
Sm 0.5000 0.3627 0.3627  4 Cu 2.97, 2 Fe 3.00

- space-group type = No. 38
- total energy (eV per atom) = -4.909
- mass density (g/cm³) = 9.1